# 1
Computed, not measured: a geometry-optimized Er3Os structure at the PBE-GGA level of DFT.

Computed properties:
electronic total energy: -104.39 eV per cell

abc: 7.362 8.948 6.257
angles: 90.00 90.00 90.00
Fractional positions:
Er1 0.039 0.250 0.128
Er2 0.175 0.062 0.667
Er3 0.175 0.438 0.667
Er4 0.325 0.562 0.167
Er5 0.325 0.938 0.167
Er6 0.461 0.750 0.628
Er7 0.539 0.250 0.372
Er8 0.675 0.062 0.833
Er9 0.675 0.438 0.833
Er10 0.825 0.562 0.333
Er11 0.825 0.938 0.333
Er12 0.961 0.750 0.872
Os1 0.118 0.750 0.461
Os2 0.382 0.250 0.961
Os3 0.618 0.750 0.039
Os4 0.882 0.250 0.539

# 2
Computed, not measured: a geometry-optimized NaAs2Au structure at the PBE-GGA level of DFT.

Computed properties:
electronic total energy: -14.19 eV per cell
relative energy among the computed polymorphs: 171 meV/atom

abc: 7.000 7.000 7.000
angles: 33.56 33.56 33.56
Fractional positions:
Na1 0.000 0.000 0.000
As1 0.227 0.227 0.227
As2 0.773 0.773 0.773
Au1 0.500 0.500 0.500

# 3
Computed, not measured: a geometry-optimized CaTl2TeS structure at the PBE-GGA level of DFT.

Computed properties:
energy relative to the elements, uncorrected: 0.3339 eV/atom
electronic total energy: -12.33 eV per cell

abc: 6.242 6.242 5.495
angles: 90.00 90.00 90.00
Fractional positions:
Ca1 0.000 0.000 0.000
Tl1 0.000 0.500 0.000
Tl2 0.500 0.000 0.000
Te1 0.000 0.000 0.500
S1 0.500 0.500 0.500

Which of these has the lowest electronic total energy? Er3Os